Entry 1:
8
Lattice="-3.1839 3.1839 4.5216 3.1839 -3.1839 4.5216 3.1839 3.1839 -4.5216" Properties=species:S:1:pos:R:3 comment="GeCCl2 | Alexandria | PBE-GGA | optimized geometry" de_polymorph_mev_per_atom=85 spacegroup="No. 141" formation_energy_uncorrected_mev_per_atom=1416.6 pbc="T T T"
Ge 3.1839 1.5920 1.1304
Ge 0.0000 1.5920 3.3912
C 3.1839 -1.5920 3.3912
C 0.0000 4.7759 1.1304
Cl 0.0000 0.0000 0.0000
Cl 1.5920 1.5920 -2.2608
Cl 1.5920 -1.5920 2.2608
Cl 0.0000 3.1839 0.0000

---

Entry 2:
5
Lattice="4.9850 0.0000 0.0000 0.0000 4.9850 0.0000 0.0000 0.0000 4.9850" Properties=species:S:1:pos:R:3 comment="GeCCl3 | Alexandria | PBE-GGA | optimized geometry" de_polymorph_mev_per_atom=147 spacegroup="No. 221" formation_energy_uncorrected_mev_per_atom=1040.6 pbc="T T T"
Ge 0.0000 0.0000 0.0000
C 2.4925 2.4925 2.4925
Cl 0.0000 0.0000 2.4925
Cl 0.0000 2.4925 0.0000
Cl 2.4925 0.0000 0.0000

---

Entry 3:
5
Lattice="4.4100 0.0000 0.0000 0.0000 4.4100 0.0000 0.0000 0.0000 5.6460" Properties=species:S:1:pos:R:3 comment="InGeC2Cl | Alexandria | PBE-GGA | optimized geometry" spacegroup="No. 123" formation_energy_uncorrected_mev_per_atom=2036.8 pbc="T T T"
In 0.0000 0.0000 0.0000
Ge 2.2050 2.2050 2.8230
C 0.0000 2.2050 0.0000
C 2.2050 0.0000 0.0000
Cl 0.0000 0.0000 2.8230

---

Entry 4:
5
Lattice="3.7794 0.0000 0.0000 0.0000 3.7794 0.0000 0.0000 0.0000 4.7233" Properties=species:S:1:pos:R:3 comment="GeIrC2Cl | Alexandria | PBE-GGA | optimized geometry" spacegroup="No. 123" formation_energy_uncorrected_mev_per_atom=2765.8 pbc="T T T"
Ge 0.0000 0.0000 0.0000
Ir 1.8897 1.8897 0.0000
C 0.0000 1.8897 2.3617
C 1.8897 0.0000 2.3617
Cl 0.0000 0.0000 2.3617

---

Entry 5:
5
Lattice="3.8100 0.0000 0.0000 0.0000 3.8100 0.0000 0.0000 0.0000 6.0170" Properties=species:S:1:pos:R:3 comment="MgGeC2Cl | Alexandria | PBE-GGA | optimized geometry" spacegroup="No. 123" formation_energy_uncorrected_mev_per_atom=1356.7 pbc="T T T"
Mg 0.0000 0.0000 0.0000
Ge 0.0000 0.0000 3.0085
C 0.0000 1.9050 3.0085
C 1.9050 0.0000 3.0085
Cl 1.9050 1.9050 0.0000

---

Entry 6:
12
Lattice="9.1643 -1.9588 0.0000 9.1643 1.9588 0.0000 -2.6069 0.0000 8.0976" Properties=species:S:1:pos:R:3 comment="Nd6GeC2Cl3 | Alexandria | PBE-GGA | optimized geometry" spacegroup="No. 12" formation_energy_uncorrected_mev_per_atom=-1068.0 pbc="T T T"
Nd -0.2186 0.0000 2.0889
Nd 4.6809 0.0000 3.5941
Nd 3.8362 0.0000 6.9803
Nd 11.8855 0.0000 1.1174
Nd 11.0408 0.0000 4.5035
Nd 15.9403 0.0000 6.0087
Ge 9.1643 0.0000 0.0000
C 2.2400 0.0000 2.7440
C 13.4817 0.0000 5.3537
Cl 0.8625 0.0000 6.7291
Cl 7.8609 0.0000 4.0488
Cl 14.8593 0.0000 1.3686

---

Entry 7:
12
Lattice="7.3987 0.0000 0.0000 0.0000 3.8324 0.0000 -3.6842 0.0000 10.5423" Properties=species:S:1:pos:R:3 comment="Nd3GeCCl | Alexandria | PBE-GGA | optimized geometry" spacegroup="No. 11" formation_energy_uncorrected_mev_per_atom=-734.1 pbc="T T T"
Nd 0.5708 0.9581 1.4533
Nd 0.2501 2.8743 5.3448
Nd -0.8090 2.8743 9.1571
Nd 4.5235 0.9581 1.3852
Nd 3.4643 0.9581 5.1974
Nd 3.1437 2.8743 9.0890
Ge 2.4293 2.8743 3.1214
Ge 1.2852 0.9581 7.4209
C -2.3018 0.9581 9.7086
C 6.0162 2.8743 0.8337
Cl -1.3242 0.9581 3.8512
Cl 5.0386 2.8743 6.6911

---

Entry 8:
16
Lattice="3.9208 2.2637 7.1348 -3.9208 2.2637 7.1348 0.0000 -4.5273 7.1348" Properties=species:S:1:pos:R:3 comment="Nd8GeC3Cl4 | Alexandria | PBE-GGA | optimized geometry" spacegroup="No. 166" formation_energy_uncorrected_mev_per_atom=-1035.6 pbc="T T T"
Nd -2.1070 -1.2165 12.1269
Nd 0.0000 0.0000 4.9260
Nd 0.0000 -2.4330 9.2775
Nd -2.1070 1.2165 9.2775
Nd 2.1070 -1.2165 12.1269
Nd 0.0000 2.4330 12.1269
Nd 0.0000 0.0000 16.4784
Nd 2.1070 1.2165 9.2775
Ge 0.0000 0.0000 10.7022
C -3.9208 0.0000 10.7022
C -1.9604 1.1318 3.5674
C 1.9604 1.1318 3.5674
Cl 0.0000 0.0000 0.0000
Cl -1.9604 -1.1318 7.1348
Cl -1.9604 1.1318 14.2696
Cl 0.0000 2.2637 7.1348

---

Entry 9:
34
Lattice="8.7754 0.0000 0.0000 0.0000 10.7276 0.0000 -8.0147 0.0000 9.6199" Properties=species:S:1:pos:R:3 comment="Ge2RuC4Cl6O4 | Alexandria | PBE-GGA | optimized geometry" spacegroup="No. 14" formation_energy_uncorrected_mev_per_atom=-814.1 pbc="T T T"
Ge 1.8304 1.7601 0.0501
Ge -2.1769 3.6037 4.8600
Ge 2.9377 7.1239 4.7599
Ge -1.0696 8.9675 9.5698
Ru 0.0000 0.0000 0.0000
Ru -4.0073 5.3638 4.8099
C -2.6134 6.7369 4.6062
C -6.6208 9.3546 9.4161
C -3.9219 5.5417 6.7678
C 0.0854 10.5497 1.9578
C 0.6754 0.1779 7.6621
C 4.6827 5.1859 2.8521
C 7.3815 1.3731 0.2038
C 3.3742 3.9907 5.0137
Cl -2.8329 1.5310 4.6553
Cl -6.8402 3.8328 9.4652
Cl -4.7154 1.5187 8.0631
Cl -0.7080 3.8451 3.2532
Cl 1.7297 7.1002 2.9350
Cl -2.2776 8.9912 7.7449
Cl 3.0384 1.7364 1.8749
Cl -0.9690 3.6274 6.6849
Cl 1.4688 6.8825 6.3667
Cl 5.4761 9.2089 1.5568
Cl 7.6010 6.8948 0.1546
Cl 3.5936 9.1966 4.9646
O -1.7964 7.5321 4.4786
O -5.8038 8.5593 9.2886
O -3.8812 5.6413 7.9099
O 0.1262 10.4501 3.0999
O 0.6346 0.2775 6.5200
O 4.6419 5.0863 1.7100
O 6.5645 2.1683 0.3313
O 2.5572 3.1955 5.1413

---

Entry 10:
5
Lattice="4.8132 0.0000 0.0000 0.0000 4.8132 0.0000 0.0000 0.0000 4.7828" Properties=species:S:1:pos:R:3 comment="GeP2CCl | Alexandria | PBE-GGA | optimized geometry" de_polymorph_mev_per_atom=1003 spacegroup="No. 123" formation_energy_uncorrected_mev_per_atom=1987.6 pbc="T T T"
Ge 0.0000 0.0000 0.0000
P 0.0000 2.4066 0.0000
P 2.4066 0.0000 0.0000
C 2.4066 2.4066 2.3914
Cl 0.0000 0.0000 2.3914

---

Entry 11:
5
Lattice="3.8263 0.0000 0.0000 0.0000 3.8263 0.0000 0.0000 0.0000 6.2533" Properties=species:S:1:pos:R:3 comment="GeP2CCl | Alexandria | PBE-GGA | optimized geometry" de_polymorph_mev_per_atom=0 spacegroup="No. 123" formation_energy_uncorrected_mev_per_atom=985.0 pbc="T T T"
Ge 0.0000 0.0000 0.0000
P 0.0000 1.9131 3.1266
P 1.9131 0.0000 3.1266
C 1.9131 1.9131 3.1266
Cl 1.9131 1.9131 0.0000

---

Entry 12:
12
Lattice="9.0802 -1.9427 0.0000 9.0802 1.9427 0.0000 -2.5474 0.0000 8.0301" Properties=species:S:1:pos:R:3 comment="Pm6GeC2Cl3 | Alexandria | PBE-GGA | optimized geometry" spacegroup="No. 12" formation_energy_uncorrected_mev_per_atom=-1085.1 pbc="T T T"
Pm -0.2023 0.0000 2.0748
Pm 4.6499 0.0000 3.5642
Pm 3.8352 0.0000 6.9142
Pm 11.7777 0.0000 1.1159
Pm 10.9631 0.0000 4.4659
Pm 15.8153 0.0000 5.9553
Ge 9.0802 0.0000 0.0000
C 2.2308 0.0000 2.7253
C 13.3821 0.0000 5.3048
Cl 0.8926 0.0000 6.6729
Cl 7.8065 0.0000 4.0150
Cl 14.7203 0.0000 1.3572

---

no.,M_tot (μB per cell)
1,0.000
2,1.597
3,1.553
4,0.000
5,0.000
6,0.000
7,0.000
8,0.000
9,0.000
10,0.065
11,0.000
12,0.000